The following is a DFT calculation (PBE) of an optimized crystal structure of Mg2ZnSn.

```
Mg2ZnSn
1.0
-4.353 -0.778 0.728
1.333 -3.795 3.915
-0.673 6.668 3.099
Mg Zn Sn
4 2 2
direct
0.750 0.234 0.416
0.250 0.766 0.584
0.250 0.834 0.068
0.750 0.166 0.932
0.250 0.355 0.191
0.750 0.645 0.809
0.750 0.683 0.287
0.250 0.317 0.713
```

Summary:
For the formation energy, the calculation gives -0.359 eV/f.u. Its symmetry is P2_1/m (11). Its total energy is -2.206 eV/atom.

=====

The following is a DFT calculation (PBE) of an optimized crystal structure of MgZnSn3.

```
MgZnSn3
1.0
-4.043 -3.557 0.490
0.027 -0.768 -5.352
3.591 -3.999 0.592
Mg Zn Sn
1 1 3
direct
0.000 0.000 0.000
0.500 0.500 0.500
0.000 0.500 0.000
0.000 0.000 0.500
0.500 0.000 0.000
```

Summary:
For the formation energy, the calculation gives 2.790 eV/f.u. Its symmetry is Pm-3m (221). Its total energy is -2.417 eV/atom.

=====

The following is a DFT calculation (PBE) of an optimized crystal structure of MgZnSn.

```
MgZnSn
1.0
5.126 0.226 0.002
-0.915 4.996 -0.001
-0.001 0.001 5.324
Mg Zn Sn
2 2 2
direct
0.347 0.212 0.373
0.632 0.499 0.873
0.801 0.043 0.123
0.801 0.043 0.624
0.940 0.573 0.373
0.272 0.908 0.873
```

Summary:
For the formation energy, the calculation gives 0.088 eV/f.u. Its symmetry is Pm (6). Its total energy is -2.261 eV/atom.

=====

The following is a DFT calculation (PBE) of an optimized crystal structure of Mg3Zn2Sn.

```
Mg3Zn2Sn
1.0
-2.527 0.375 -2.161
0.368 -3.178 -0.983
-6.961 -3.155 7.592
Mg Zn Sn
3 2 1
direct
0.000 0.000 0.000
0.000 0.000 0.701
0.000 0.000 0.299
0.500 0.500 0.853
0.500 0.500 0.147
0.500 0.500 0.500
```

Summary:
For the formation energy, the calculation gives -0.515 eV/f.u. Its symmetry is P4/mmm (123). Its total energy is -1.975 eV/atom.

=====

The following is a DFT calculation (PBE) of an optimized crystal structure of Mg4Zn3Sn.

```
Mg4Zn3Sn
1.0
4.424 0.000 0.000
0.000 8.001 0.000
0.000 0.000 8.851
Mg Zn Sn
8 6 2
direct
0.500 0.771 0.000
0.500 0.771 0.500
0.500 0.229 0.000
0.500 0.229 0.500
0.000 0.771 0.750
0.000 0.771 0.250
0.000 0.229 0.250
0.000 0.229 0.750
0.000 0.000 0.000
0.000 0.000 0.500
0.500 0.000 0.750
0.500 0.000 0.250
0.500 0.500 0.750
0.500 0.500 0.250
0.000 0.500 0.000
0.000 0.500 0.500
```

Summary:
For the formation energy, the calculation gives -0.638 eV/f.u. Its symmetry is P4/mmm (123). Its total energy is -1.855 eV/atom.

=====

The following is a DFT calculation (PBE) of an optimized crystal structure of Mg17Zn11Sn.

```
Mg17Zn11Sn
1.0
-0.722 -5.793 -6.565
8.242 -0.067 3.041
-5.820 -2.414 6.870
Mg Zn Sn
17 11 1
direct
0.001 0.001 0.316
0.700 0.700 0.301
0.651 0.651 0.655
0.398 0.398 0.718
0.987 0.987 0.982
0.324 0.607 0.001
0.403 0.731 0.407
0.003 0.305 0.611
0.988 0.353 0.995
0.281 0.680 0.680
0.611 0.005 0.316
0.005 0.611 0.316
0.680 0.281 0.680
0.353 0.988 0.995
0.305 0.003 0.611
0.731 0.403 0.407
0.607 0.324 0.001
0.171 0.171 0.812
0.634 0.818 0.997
0.179 0.374 0.385
0.799 0.991 0.633
0.632 0.006 0.819
0.819 0.192 0.177
0.192 0.819 0.177
0.006 0.632 0.819
0.991 0.799 0.633
0.374 0.179 0.385
0.818 0.634 0.997
0.359 0.359 0.175
```

Summary:
For the formation energy, the calculation gives -1.793 eV/f.u. Its symmetry is Cm (8). Its total energy is -1.618 eV/atom.

=====

The following is a DFT calculation (PBE) of an optimized crystal structure of MgZnSn.

```
MgZnSn
1.0
-2.881 -1.503 -1.911
2.272 -0.609 -2.946
1.358 -3.083 4.096
Mg Zn Sn
1 1 1
direct
0.619 0.619 0.239
0.286 0.286 0.571
0.945 0.945 0.890
```

Summary:
For the formation energy, the calculation gives -0.014 eV/f.u. Its symmetry is I4mm (107). Its total energy is -2.295 eV/atom.

=====

The following is a DFT calculation (PBE) of an optimized crystal structure of Mg6Zn5Sn.

```
Mg6Zn5Sn
1.0
4.097 0.015 -1.195
-1.114 7.157 -3.728
0.116 -0.443 8.016
Mg Zn Sn
6 5 1
direct
0.831 0.570 0.662
0.831 0.093 0.662
0.500 0.728 0.000
0.500 0.272 0.000
0.169 0.907 0.338
0.169 0.430 0.338
0.669 0.169 0.338
0.324 0.324 0.649
0.000 0.500 0.000
0.676 0.676 0.351
0.331 0.831 0.662
0.000 0.000 0.000
```

Summary:
For the formation energy, the calculation gives -0.825 eV/f.u. Its symmetry is Immm (71). Its total energy is -1.730 eV/atom.